Model 1:
Density functional theory data (PBE) for a geometry-optimized YHfSn2 structure.

```
YHfSn2
1.0
0.000 3.666 3.666
3.666 0.000 3.666
3.666 3.666 0.000
Sn Y Hf
2 1 1
direct
0.250 0.250 0.250
0.750 0.750 0.750
0.000 0.000 0.000
0.500 0.500 0.500
```

## Properties
As for the symmetry: Fm-3m (225). Its size of the total moment is 1.22 μB per formula unit.

Model 2:
Density functional theory data (PBE) for a geometry-optimized YHfSn2 structure.

```
YHfSn2
1.0
-1.957 -3.471 0.963
1.836 -2.800 2.366
-2.858 1.176 7.159
Y Hf Sn
1 1 2
direct
0.500 0.500 0.500
0.000 0.000 0.000
0.256 0.256 0.231
0.744 0.744 0.769
```

## Properties
As for the symmetry: R-3m (166). Its size of the total moment is 0.00 μB per formula unit.

Model 3:
Density functional theory data (PBE) for a geometry-optimized YHfSn2 structure.

```
YHfSn2
1.0
-2.158 2.139 3.387
-0.795 -3.999 2.020
7.728 -0.072 8.025
Sn Hf Y
4 2 2
direct
0.096 0.625 0.250
0.654 0.125 0.250
0.875 0.904 0.750
0.375 0.346 0.750
0.750 0.250 0.500
0.000 0.000 0.000
0.250 0.750 0.500
0.500 0.500 0.000
```

## Properties
As for the symmetry: I-42d (122). Its size of the total moment is 0.00 μB per formula unit.

Model 4:
Density functional theory data (PBE) for a geometry-optimized YHfSn2 structure.

```
YHfSn2
1.0
-2.529 -1.819 1.154
1.634 -2.780 -0.802
3.687 -0.113 7.906
Y Sn Hf
1 2 1
direct
0.500 0.500 0.000
0.000 0.000 0.263
0.000 0.000 0.737
0.500 0.500 0.500
```

## Properties
As for the symmetry: P4/mmm (123). Its size of the total moment is 0.55 μB per formula unit.

model 4 is preferred energetically. Next in line: 46 meV per atom higher.

Model 1:
Density functional theory data (PBE) for a geometry-optimized Y3HfSn structure.

```
Y3HfSn
1.0
-0.253 -5.428 -1.543
1.629 -1.549 5.182
-5.403 -0.213 1.635
Hf Y Sn
1 3 1
direct
0.500 0.500 0.500
0.000 0.000 0.500
0.000 0.500 0.000
0.500 0.000 0.000
0.000 0.000 0.000
```

## Properties
As for the symmetry: Pm-3m (221). Its size of the total moment is 3.68 μB per formula unit.

Model 2:
Density functional theory data (PBE) for a geometry-optimized Y3HfSn structure.

```
Y3HfSn
1.0
5.494 0.000 0.000
0.000 5.494 0.000
0.000 0.000 5.494
Sn Hf Y
1 1 3
direct
0.500 0.500 0.500
0.000 0.000 0.000
0.000 0.500 0.000
0.000 0.000 0.500
0.500 0.000 0.000
```

## Properties
As for the symmetry: Pm-3m (221). Its size of the total moment is 0.00 μB per formula unit.

model 2 is preferred energetically. Next in line: 26 meV per atom higher.

Model 1:
Density functional theory data (PBE) for a geometry-optimized YHf3Sn structure.

```
YHf3Sn
1.0
-4.883 -0.399 2.036
-2.016 -0.314 -4.897
0.489 -5.281 0.137
Y Hf Sn
1 3 1
direct
0.500 0.500 0.500
0.000 0.000 0.500
0.500 0.000 0.000
0.000 0.500 0.000
0.000 0.000 0.000
```

## Properties
As for the symmetry: Pm-3m (221). Its size of the total moment is 0.00 μB per formula unit.

Model 2:
Density functional theory data (PBE) for a geometry-optimized YHf3Sn structure.

```
YHf3Sn
1.0
-1.573 -0.951 4.839
-4.310 -2.205 -1.834
2.398 -4.586 -0.122
Hf Y Sn
3 1 1
direct
0.000 0.000 0.500
0.000 0.500 0.000
0.500 0.000 0.000
0.000 0.000 0.000
0.500 0.500 0.500
```

## Properties
As for the symmetry: Pm-3m (221). Its size of the total moment is 0.00 μB per formula unit.

model 1 is preferred energetically. Next in line: 672 meV per atom higher.

Model 1:
Density functional theory data (PBE) for a geometry-optimized HfZnSn3 structure.

```
HfZnSn3
1.0
5.121 0.000 0.000
0.000 5.121 0.000
0.000 0.000 5.121
Sn Hf Zn
3 1 1
direct
0.000 0.000 0.500
0.500 0.000 0.000
0.000 0.500 0.000
0.500 0.500 0.500
0.000 0.000 0.000
```

## Properties
As for the symmetry: Pm-3m (221). Its size of the total moment is 0.00 μB per formula unit.

Model 2:
Density functional theory data (PBE) for a geometry-optimized HfZnSn3 structure.

```
HfZnSn3
1.0
5.552 0.000 0.000
0.000 5.552 0.000
0.000 0.000 5.552
Sn Hf Zn
3 1 1
direct
0.000 0.000 0.500
0.500 0.000 0.000
0.000 0.500 0.000
0.000 0.000 0.000
0.500 0.500 0.500
```

## Properties
As for the symmetry: Pm-3m (221). Its size of the total moment is 0.00 μB per formula unit.

model 2 is preferred energetically. Next in line: 213 meV per atom higher.